Entry 1:
5
Lattice="4.546 0.000 0.000 0.000 4.546 0.000 0.000 0.000 4.546" Properties=species:S:1:pos:R:3 comment="Li3MnOs | the Alexandria database | PBE | optimized geometry" m_tot_mub_per_fu=0.8 relative_energy_ev_per_fu=0.00 delta_e_f_ev_per_atom=1.750 crystal_system=cubic pbc="T T T"
Os 0.000 0.000 0.000
Mn 2.273 2.273 2.273
Li 0.000 2.273 0.000
Li 0.000 0.000 2.273
Li 2.273 0.000 0.000

***

Entry 2:
8
Lattice="-3.724 3.114 -5.088 4.440 -2.559 -4.816 -1.019 -1.714 -5.163" Properties=species:S:1:pos:R:3 comment="LiMnOs2 | the Alexandria database | PBE | optimized geometry" m_tot_mub_per_fu=0.0 relative_energy_ev_per_fu=2.36 delta_e_f_ev_per_atom=0.714 crystal_system=tetragonal pbc="T T T"
Os -0.763 -0.924 -7.297
Li 1.889 -1.998 -7.466
Os -2.251 1.385 -5.378
Li 0.358 0.277 -4.952
Mn -2.193 0.838 -7.602
Os 0.128 -0.954 -12.828
Mn 0.000 0.000 0.000
Os 2.278 -1.826 -4.631

***

Entry 3:
4
Lattice="-3.377 2.612 -0.654 -1.370 -2.039 -1.068 -1.653 -1.087 4.191" Properties=species:S:1:pos:R:3 comment="LiMnOs2 | the Alexandria database | PBE | optimized geometry" m_tot_mub_per_fu=2.7 relative_energy_ev_per_fu=0.24 delta_e_f_ev_per_atom=0.184 crystal_system=orthorhombic pbc="T T T"
Os -2.554 0.311 0.167
Os -1.268 -1.829 -0.759
Mn -4.038 -1.234 1.656
Li -1.422 -1.363 1.898

***

Entry 4:
4
Lattice="4.064 -0.008 -0.019 -0.003 4.064 0.019 -2.016 -2.042 2.877" Properties=species:S:1:pos:R:3 comment="Li2MnOs | the Alexandria database | PBE | optimized geometry" m_tot_mub_per_fu=0.7 relative_energy_ev_per_fu=0.16 delta_e_f_ev_per_atom=0.222 crystal_system=tetragonal pbc="T T T"
Li 2.039 -0.011 1.429
Mn 2.030 2.028 0.000
Li 0.000 0.000 0.000
Os 0.005 2.025 1.448

***

Entry 5:
4
Lattice="4.523 0.002 -0.012 3.740 2.543 -0.012 0.765 0.236 4.630" Properties=species:S:1:pos:R:3 comment="LiMnOs2 | the Alexandria database | PBE | optimized geometry" m_tot_mub_per_fu=1.9 relative_energy_ev_per_fu=0.23 delta_e_f_ev_per_atom=0.183 crystal_system=monoclinic pbc="T T T"
Os 0.090 0.028 0.002
Li 2.257 0.695 1.151
Os 4.424 1.363 2.301
Mn 6.772 2.086 3.454

***

Entry 6:
4
Lattice="4.422 0.000 0.000 0.000 3.430 0.000 0.000 0.000 3.430" Properties=species:S:1:pos:R:3 comment="Li2MnOs | the Alexandria database | PBE | optimized geometry" m_tot_mub_per_fu=1.6 relative_energy_ev_per_fu=0.59 delta_e_f_ev_per_atom=0.331 crystal_system=tetragonal pbc="T T T"
Li 0.000 1.715 1.715
Mn 2.211 1.715 0.000
Os 2.211 0.000 1.715
Li 0.000 0.000 0.000

***

Entry 7:
3
Lattice="-6.664 2.094 -1.132 -6.161 0.352 -3.004 -1.357 -0.884 2.042" Properties=species:S:1:pos:R:3 comment="LiMnOs | the Alexandria database | PBE | optimized geometry" m_tot_mub_per_fu=1.8 relative_energy_ev_per_fu=0.43 delta_e_f_ev_per_atom=0.342 crystal_system=orthorhombic pbc="T T T"
Mn -5.112 0.206 0.019
Li -12.822 2.445 -4.135
Os -9.073 1.356 -2.115

***

Entry 8:
4
Lattice="-4.200 -0.009 0.778 -0.012 -2.624 -0.098 0.871 -0.526 4.693" Properties=species:S:1:pos:R:3 comment="LiMnOs2 | the Alexandria database | PBE | optimized geometry" m_tot_mub_per_fu=2.5 relative_energy_ev_per_fu=0.39 delta_e_f_ev_per_atom=0.224 crystal_system=monoclinic pbc="T T T"
Li -1.885 -0.792 1.538
Mn -1.456 -2.367 3.835
Os -0.006 -2.625 -0.064
Os 0.423 -1.573 2.264

***

Entry 9:
4
Lattice="-1.655 1.999 -3.262 0.994 -1.160 -3.878 -2.830 -1.905 -2.395" Properties=species:S:1:pos:R:3 comment="LiMnOs2 | the Alexandria database | PBE | optimized geometry" m_tot_mub_per_fu=0.1 relative_energy_ev_per_fu=0.56 delta_e_f_ev_per_atom=0.266 crystal_system=cubic pbc="T T T"
Os -0.873 -0.266 -2.384
Mn -2.618 -0.799 -7.151
Os 0.000 0.000 0.000
Li -1.746 -0.533 -4.767

***

Entry 10:
3
Lattice="4.421 -0.008 0.027 2.016 3.934 -0.027 -2.789 -2.668 2.157" Properties=species:S:1:pos:R:3 comment="LiMnOs | the Alexandria database | PBE | optimized geometry" m_tot_mub_per_fu=1.5 relative_energy_ev_per_fu=0.17 delta_e_f_ev_per_atom=0.257 crystal_system=orthorhombic pbc="T T T"
Mn 2.105 1.284 0.000
Li 0.002 0.001 0.000
Os 4.330 2.641 0.000

***

Entry 11:
4
Lattice="-1.081 1.351 2.726 -3.010 -0.898 -0.748 0.689 -4.320 2.414" Properties=species:S:1:pos:R:3 comment="Li2MnOs | the Alexandria database | PBE | optimized geometry" m_tot_mub_per_fu=3.2 relative_energy_ev_per_fu=1.61 delta_e_f_ev_per_atom=0.584 crystal_system=tetragonal pbc="T T T"
Li 0.352 -2.209 1.234
Mn -1.873 -0.854 1.592
Os -1.529 -3.014 2.799
Li 0.681 -4.271 2.386

***

Entry 12:
4
Lattice="-4.500 0.490 -1.873 -3.764 -0.331 3.118 4.108 2.431 -1.102" Properties=species:S:1:pos:R:3 comment="LiMnOs2 | the Alexandria database | PBE | optimized geometry" m_tot_mub_per_fu=2.1 relative_energy_ev_per_fu=0.48 delta_e_f_ev_per_atom=0.245 crystal_system=orthorhombic pbc="T T T"
Os -2.247 1.500 -1.178
Li -4.092 0.078 0.617
Mn -1.915 1.090 1.323
Os -0.034 0.001 0.005